# Si2GeSbOs

Si2GeSbOs at its PBEsol-relaxed geometry (meta-GGA SCAN, Alexandria via LeMat-Bulk).

Cell lengths 4.5049, 4.5049, 5.4615 Å; angles 90.00, 90.00, 90.00 degrees
Space group P4/mmm (No. 123)
Inequivalent atoms, fractional coordinates:
Si1 0.0000 0.5000 0.0000 (multiplicity 2)
Ge1 0.0000 0.0000 0.5000 (multiplicity 1)
Sb1 0.5000 0.5000 0.5000 (multiplicity 1)
Os1 0.5000 0.5000 0.0000 (multiplicity 1)

VASP energy ... -29.04 eV/atom
Formation energy from raw total energies ... 0.6163 eV/atom
V ... 22.167 Å³ per atom
Total magnetization ... 0.0 μB per formula unit